[1]
# Li2UTlCl8

Crystalline Li2UTlCl8 at its relaxed geometry (PBE, Alexandria).

Structure (extended XYZ):
```
12
Lattice="6.3191 0.6279 -0.0045 0.6876 6.3142 -0.0054 0.0099 0.0118 9.3903" Properties=species:S:1:pos:R:3 pbc="T T T"
Li 3.5078 3.4776 6.1733
Li 3.5088 3.4762 3.2070
U 0.0000 0.0000 0.0000
Tl 0.0049 0.0059 4.6952
Cl 1.9359 5.0328 1.8390
Cl 5.2425 5.2226 9.3826
Cl 5.0731 1.9115 1.8401
Cl 5.0806 1.9210 7.5413
Cl 1.7741 1.7312 -0.0022
Cl 1.9434 5.0423 7.5403
Cl 4.7528 4.7305 4.6898
Cl 2.2638 2.2233 4.6905
```

Energy (eV per atom): -4.24
Formation energy (no corrections) (eV/f.u.): -18.65

---

[2]
# LiTl3V2Cl9

Crystalline LiTl3V2Cl9 at its relaxed geometry (PBE, Alexandria).

Structure (extended XYZ):
```
15
Lattice="7.0234 0.0000 0.0000 -3.5117 6.0824 0.0000 0.0000 0.0000 8.6305" Properties=species:S:1:pos:R:3 pbc="T T T"
Li 0.0000 0.0000 4.3152
Tl 0.0000 4.0550 5.5898
Tl 0.0000 0.0000 0.0000
Tl 3.5117 2.0275 3.0407
V 0.0000 4.0550 1.4433
V 3.5117 2.0275 7.1872
Cl 5.2152 1.0440 5.8261
Cl 3.5117 3.9945 5.8261
Cl 1.8082 1.0440 5.8261
Cl 1.7035 5.0385 2.8043
Cl 0.0000 2.0879 2.8043
Cl -1.7035 5.0385 2.8043
Cl 3.5117 0.0000 0.0000
Cl -1.7558 3.0412 0.0000
Cl 1.7558 3.0412 0.0000
```

Energy (eV per atom): -4.12
Formation energy (no corrections) (eV/f.u.): -17.92

---

[3]
# LiTlVCl6

Crystalline LiTlVCl6 at its relaxed geometry (PBE, Alexandria).

Structure (extended XYZ):
```
9
Lattice="6.4670 0.0002 0.0000 3.2337 5.6004 0.0000 0.0002 -0.0003 6.8478" Properties=species:S:1:pos:R:3 pbc="T T T"
Li 6.4669 3.7336 3.4239
Tl 6.4671 -0.0001 6.8477
V 3.2336 1.8669 3.4239
Cl 1.3432 2.0300 2.0697
Cl 2.4298 0.1481 4.7781
Cl 5.1239 2.0300 4.7781
Cl 2.1471 3.4221 4.7780
Cl 4.3200 3.4222 2.0697
Cl 4.0373 0.1481 2.0697
```

Energy (eV per atom): -3.96
Formation energy (no corrections) (eV/f.u.): -11.19

---

[4]
# Li3Tl3VCl8

Crystalline Li3Tl3VCl8 at its relaxed geometry (PBE, Alexandria).

Structure (extended XYZ):
```
15
Lattice="7.6624 -0.0005 -0.0003 -3.8316 6.6382 -0.0228 -0.0001 -4.4008 7.4361" Properties=species:S:1:pos:R:3 pbc="T T T"
Li 3.8311 -2.2006 3.7179
Li 1.9153 1.1185 3.7065
Li -1.9159 1.1187 3.7067
Tl 0.0000 0.0000 0.0000
Tl -1.9158 3.3191 -0.0114
Tl 1.9154 3.3189 -0.0115
V -0.0001 -2.2004 3.7181
Cl -0.0004 2.2195 2.3154
Cl 3.8310 0.0174 5.0976
Cl 3.8308 2.3168 2.3392
Cl -0.0001 -0.0799 5.0738
Cl 5.8301 -1.1480 2.3504
Cl -1.9995 3.3849 5.0626
Cl 1.8320 -1.1477 2.3505
Cl 1.9986 3.3846 5.0625
```

Energy (eV per atom): -3.77
Formation energy (no corrections) (eV/f.u.): -19.77